1.
# LaTh3 | the Alexandria database | PBE | relaxed
# DOS(E_F): 1.018 states/eV per atom
# ΔE to the lowest computed polymorph: 25 meV/atom
# V: 33.4 Å³ per atom
# Size of the total moment: 0.000 μB per atom
data_LaTh3
_space_group_name_H-M_alt 'P 63/m m c'
_space_group_IT_number 194
_space_group_name_Hall '-P 6c 2c'
_cell_length_a 7.1957
_cell_length_b 7.1957
_cell_length_c 5.9605
_cell_angle_alpha 90.00
_cell_angle_beta 90.00
_cell_angle_gamma 120.00
loop_
_atom_site_label
_atom_site_type_symbol
_atom_site_fract_x
_atom_site_fract_y
_atom_site_fract_z
_atom_site_occupancy
La1 La 0.3333 0.6667 0.2500 1
Th1 Th 0.1647 0.3294 0.7500 1

=====

2.
# Cr2Sn2B | the Alexandria database | PBE | relaxed
# DOS(E_F): 0.712 states/eV per atom
# ΔE to the lowest computed polymorph: 0 meV/atom
# V: 16.4 Å³ per atom
# Size of the total moment: 0.000 μB per atom
data_Cr2Sn2B
_space_group_name_H-M_alt 'I 4/m m m'
_space_group_IT_number 139
_space_group_name_Hall '-I 4 2'
_cell_length_a 3.2475
_cell_length_b 3.2475
_cell_length_c 15.5866
_cell_angle_alpha 90.00
_cell_angle_beta 90.00
_cell_angle_gamma 90.00
loop_
_atom_site_label
_atom_site_type_symbol
_atom_site_fract_x
_atom_site_fract_y
_atom_site_fract_z
_atom_site_occupancy
Cr1 Cr 0.0000 0.5000 0.2500 1
Sn1 Sn 0.0000 0.0000 0.0994 1
B1 B 0.0000 0.0000 0.5000 1

=====

3.
# LaPm2Pu | the Alexandria database | PBE | relaxed
# DOS(E_F): 2.961 states/eV per atom
# ΔE to the lowest computed polymorph: 10 meV/atom
# V: 33.5 Å³ per atom
# Size of the total moment: 1.536 μB per atom
data_LaPm2Pu
_space_group_name_H-M_alt 'R 3 m'
_space_group_IT_number 160
_space_group_name_Hall 'R 3 -2"'
_cell_length_a 3.6216
_cell_length_b 3.6216
_cell_length_c 35.3581
_cell_angle_alpha 90.00
_cell_angle_beta 90.00
_cell_angle_gamma 120.00
loop_
_atom_site_label
_atom_site_type_symbol
_atom_site_fract_x
_atom_site_fract_y
_atom_site_fract_z
_atom_site_occupancy
La1 La 0.0000 0.0000 0.0000 1
Pm1 Pm 0.0000 0.0000 0.5791 1
Pm2 Pm 0.0000 0.0000 0.7534 1
Pu1 Pu 0.0000 0.0000 0.1660 1